1.
The following is a GGA-PBE calculation of Sr2Li2Au after structural relaxation, from Alexandria via LeMat-Bulk.

Calculated values
**Theoretical density**: 4243 kg/m3
**E_form**: -1.30 eV per formula unit
**ΔE to the lowest computed polymorph**: 0.021 eV/atom

Unit cell a=10.198 b=10.198 c=10.198 alpha=157.82 beta=157.82 gamma=31.58
Fractional positions:
Sr: 0.093 0.093 0.000
Sr: 0.907 0.907 0.000
Li: 0.250 0.750 0.500
Li: 0.750 0.250 0.500
Au: 0.500 0.500 0.000

***

2.
The following is a GGA-PBE calculation of Pr4Dy15In after structural relaxation, from Alexandria via LeMat-Bulk.

Calculated values
**Theoretical density**: 8142 kg/m3
**E_form**: -0.55 eV per formula unit

Unit cell a=5.009 b=5.009 c=25.325 alpha=90.00 beta=90.00 gamma=90.00
Fractional positions:
Pr: 0.000 0.000 0.101
Pr: 0.000 0.000 0.303
Pr: 0.000 0.000 0.697
Pr: 0.000 0.000 0.899
Dy: 0.000 0.500 0.000
Dy: 0.000 0.500 0.202
Dy: 0.000 0.500 0.405
Dy: 0.000 0.500 0.595
Dy: 0.000 0.500 0.798
Dy: 0.500 0.000 0.000
Dy: 0.500 0.000 0.202
Dy: 0.500 0.000 0.405
Dy: 0.500 0.000 0.595
Dy: 0.500 0.000 0.798
Dy: 0.500 0.500 0.102
Dy: 0.500 0.500 0.306
Dy: 0.500 0.500 0.500
Dy: 0.500 0.500 0.694
Dy: 0.500 0.500 0.898
In: 0.000 0.000 0.500

***

3.
The following is a GGA-PBE calculation of Sb2MoRu after structural relaxation, from Alexandria via LeMat-Bulk.

Calculated values
**Theoretical density**: 9898 kg/m3
**Uncorrected formation energy**: 26.2 kJ/mol of atoms
**ΔE to the lowest computed polymorph**: 0.200 eV/atom

Unit cell a=8.508 b=8.508 c=8.508 alpha=21.72 beta=21.72 gamma=21.72
Fractional positions:
Sb: 0.248 0.248 0.248
Sb: 0.752 0.752 0.752
Mo: 0.000 0.000 0.000
Ru: 0.500 0.500 0.500

***

4.
The following is a GGA-PBE calculation of Re2Ir after structural relaxation, from Alexandria via LeMat-Bulk.

Calculated values
**Theoretical density**: 21114 kg/m3
**E_form**: -0.10 eV per formula unit
**ΔE to the lowest computed polymorph**: 0.161 eV/atom

Unit cell a=2.751 b=2.751 c=6.774 alpha=90.00 beta=90.00 gamma=120.00
Fractional positions:
Re: 0.333 0.667 0.336
Re: 0.667 0.333 0.664
Ir: 0.000 0.000 0.000

***

5.
The following is a GGA-PBE calculation of Nd3Co4Sn13 after structural relaxation, from Alexandria via LeMat-Bulk.

Calculated values
**Theoretical density**: 8215 kg/m3
**E_form**: -7.38 eV per formula unit

Unit cell a=9.634 b=9.634 c=9.634 alpha=90.00 beta=90.00 gamma=90.00
Fractional positions:
Nd: 0.000 0.250 0.500
Nd: 0.000 0.750 0.500
Nd: 0.250 0.500 0.000
Nd: 0.500 0.000 0.250
Nd: 0.500 0.000 0.750
Nd: 0.750 0.500 0.000
Co: 0.250 0.250 0.250
Co: 0.250 0.250 0.750
Co: 0.250 0.750 0.250
Co: 0.250 0.750 0.750
Co: 0.750 0.250 0.250
Co: 0.750 0.250 0.750
Co: 0.750 0.750 0.250
Co: 0.750 0.750 0.750
Sn: 0.000 0.000 0.000
Sn: 0.000 0.302 0.158
Sn: 0.000 0.302 0.842
Sn: 0.000 0.698 0.158
Sn: 0.000 0.698 0.842
Sn: 0.158 0.000 0.302
Sn: 0.158 0.000 0.698
Sn: 0.198 0.500 0.342
Sn: 0.198 0.500 0.658
Sn: 0.302 0.158 0.000
Sn: 0.302 0.842 0.000
Sn: 0.342 0.198 0.500
Sn: 0.342 0.802 0.500
Sn: 0.500 0.342 0.198
Sn: 0.500 0.342 0.802
Sn: 0.500 0.500 0.500
Sn: 0.500 0.658 0.198
Sn: 0.500 0.658 0.802
Sn: 0.658 0.198 0.500
Sn: 0.658 0.802 0.500
Sn: 0.698 0.158 0.000
Sn: 0.698 0.842 0.000
Sn: 0.802 0.500 0.342
Sn: 0.802 0.500 0.658
Sn: 0.842 0.000 0.302
Sn: 0.842 0.000 0.698

***

6.
The following is a GGA-PBE calculation of DyEr2Au4 after structural relaxation, from Alexandria via LeMat-Bulk.

Calculated values
**Theoretical density**: 12383 kg/m3
**E_form**: -5.12 eV per formula unit

Unit cell a=6.023 b=6.023 c=4.919 alpha=90.00 beta=90.00 gamma=105.08
Fractional positions:
Dy: 0.000 0.000 0.000
Er: 0.286 0.714 0.500
Er: 0.714 0.286 0.500
Au: 0.000 0.500 0.000
Au: 0.210 0.210 0.500
Au: 0.500 0.000 0.000
Au: 0.790 0.790 0.500

***

7.
The following is a GGA-PBE calculation of VCoPt2Rh2 after structural relaxation, from Alexandria via LeMat-Bulk.

Calculated values
**Theoretical density**: 13515 kg/m3
**E_form**: -0.36 eV per formula unit

Unit cell a=4.905 b=5.213 c=6.876 alpha=90.00 beta=99.44 gamma=90.00
Fractional positions:
V: 0.217 0.250 0.148
V: 0.783 0.750 0.852
Co: 0.172 0.750 0.110
Co: 0.828 0.250 0.890
Pt: 0.304 0.002 0.816
Pt: 0.304 0.498 0.816
Pt: 0.696 0.502 0.184
Pt: 0.696 0.998 0.184
Rh: 0.096 0.250 0.458
Rh: 0.383 0.750 0.450
Rh: 0.617 0.250 0.550
Rh: 0.904 0.750 0.542

***

8.
The following is a GGA-PBE calculation of TlCr2Cl after structural relaxation, from Alexandria via LeMat-Bulk.

Calculated values
**Theoretical density**: 7000 kg/m3
**Uncorrected formation energy**: 54.4 kJ/mol of atoms
**ΔE to the lowest computed polymorph**: 0.432 eV/atom

Unit cell a=5.043 b=5.043 c=3.207 alpha=90.00 beta=90.00 gamma=90.00
Fractional positions:
Tl: 0.000 0.000 0.000
Cr: 0.000 0.500 0.500
Cr: 0.500 0.000 0.500
Cl: 0.500 0.500 0.000

***

no.,electronic total energy (eV per cell)
1,-11.770
2,-91.435
3,-27.267
4,-33.854
5,-204.280
6,-31.956
7,-86.746
8,-21.206